Model i:
The following is a DFT calculation (PBE-GGA) of a relaxed structure of RbNbRu2.

Output
- Density: 5.59 Mg/m³
- SG: I-42d

Cell: 5.3322 5.3322 8.7984 Å, 72.36 72.36 90.00°
Last column: nearest neighbours and their distance in Å.
Atoms (fractional coordinates):
Ru (0.9469, 0.6250, 0.2500)  2 Nb 2.42
Ru (0.3750, 0.1969, 0.7500)  2 Nb 2.42
Ru (0.8031, 0.1250, 0.2500)  2 Nb 2.42
Nb (0.7500, 0.2500, 0.5000)  4 Ru 2.42
Rb (0.5000, 0.5000, 0.0000)  4 Ru 3.31
Nb (0.0000, 0.0000, 0.0000)  4 Ru 2.42
Ru (0.8750, 0.0531, 0.7500)  2 Nb 2.42
Rb (0.2500, 0.7500, 0.5000)  4 Ru 3.31

Model ii:
The following is a DFT calculation (PBE-GGA) of a relaxed structure of RbNbRu2.

Output
- Density: 8.57 Mg/m³
- SG: Fm-3m

Cell: 4.7070 4.7070 4.7070 Å, 60.00 60.00 60.00°
Last column: nearest neighbours and their distance in Å.
Atoms (fractional coordinates):
Ru (0.7500, 0.7500, 0.7500)  4 Nb 2.88, 4 Rb 2.88
Rb (0.0000, 0.0000, 0.0000)  8 Ru 2.88
Ru (0.2500, 0.2500, 0.2500)  4 Nb 2.88, 4 Rb 2.88
Nb (0.5000, 0.5000, 0.5000)  8 Ru 2.88

In kJ/mol of atoms, relative to the most stable structure: model i 10.4; model ii 0.0.

Model i:
The following is a DFT calculation (PBE-GGA) of a relaxed structure of RbNb3S.

Output
- Density: 5.83 Mg/m³
- SG: Pm-3m

Cell: 4.8314 4.8314 4.8314 Å, 90.00 90.00 90.00°
Last column: nearest neighbours and their distance in Å.
Atoms (fractional coordinates):
Rb (0.0000, 0.0000, 0.0000)  6 Nb 2.42
Nb (0.0000, 0.5000, 0.0000)  2 Rb 2.42
S (0.5000, 0.5000, 0.5000)  12 Nb 3.42
Nb (0.5000, 0.0000, 0.0000)  2 Rb 2.42
Nb (0.0000, 0.0000, 0.5000)  2 Rb 2.42

Model ii:
The following is a DFT calculation (PBE-GGA) of a relaxed structure of RbNb3S.

Output
- Density: 5.91 Mg/m³
- SG: Pm-3m

Cell: 4.8116 4.8116 4.8116 Å, 90.00 90.00 90.00°
Last column: nearest neighbours and their distance in Å.
Atoms (fractional coordinates):
Nb (0.0000, 0.5000, 0.0000)  2 S 2.41
Nb (0.5000, 0.0000, 0.0000)  2 S 2.41
S (0.0000, 0.0000, 0.0000)  6 Nb 2.41
Rb (0.5000, 0.5000, 0.5000)  12 Nb 3.40
Nb (0.0000, 0.0000, 0.5000)  2 S 2.41

In kJ/mol of atoms, relative to the most stable structure: model i 198.3; model ii 0.0.

Model i:
The following is a DFT calculation (PBE-GGA) of a relaxed structure of RbNbS3.

Output
- Density: 3.24 Mg/m³
- SG: Fd-3m

Cell: 9.2698 9.2698 9.2698 Å, 60.00 60.00 60.00°
Last column: nearest neighbours and their distance in Å.
Atoms (fractional coordinates):
Nb (0.1250, 0.6250, 0.6250)  6 S 2.45
S (0.6865, 0.3135, 0.6865)  2 Nb 2.45
S (0.5635, 0.5635, 0.9365)  2 Nb 2.45
Nb (0.6250, 0.6250, 0.1250)  6 S 2.45
S (0.9365, 0.9365, 0.5635)  2 Nb 2.45
S (0.9365, 0.5635, 0.9365)  2 Nb 2.45
Rb (0.1250, 0.1250, 0.1250)  6 S 3.39
Rb (0.6250, 0.1250, 0.1250)  6 S 3.39
S (0.3135, 0.6865, 0.6865)  2 Nb 2.45
S (0.6865, 0.6865, 0.3135)  2 Nb 2.45
Nb (0.6250, 0.1250, 0.6250)  6 S 2.45
S (0.6865, 0.3135, 0.3135)  2 Nb 2.45
Nb (0.6250, 0.6250, 0.6250)  6 S 2.45
S (0.3135, 0.3135, 0.6865)  2 Nb 2.45
Rb (0.1250, 0.1250, 0.6250)  6 S 3.39
S (0.3135, 0.6865, 0.3135)  2 Nb 2.45
Rb (0.1250, 0.6250, 0.1250)  6 S 3.39
S (0.9365, 0.5635, 0.5635)  2 Nb 2.45
S (0.5635, 0.9365, 0.9365)  2 Nb 2.45
S (0.5635, 0.9365, 0.5635)  2 Nb 2.45

Model ii:
The following is a DFT calculation (PBE-GGA) of a relaxed structure of RbNbS3.

Output
- Density: 3.05 Mg/m³
- SG: Pm-3m

Cell: 5.3069 5.3069 5.3069 Å, 90.00 90.00 90.00°
Last column: nearest neighbours and their distance in Å.
Atoms (fractional coordinates):
Nb (0.5000, 0.5000, 0.5000)  12 S 3.75
S (0.5000, 0.0000, 0.0000)  2 Rb 2.65
Rb (0.0000, 0.0000, 0.0000)  6 S 2.65
S (0.0000, 0.5000, 0.0000)  2 Rb 2.65
S (0.0000, 0.0000, 0.5000)  2 Rb 2.65

In kJ/mol of atoms, relative to the most stable structure: model i 0.0; model ii 248.0.

Model i:
The following is a DFT calculation (PBE-GGA) of a relaxed structure of RbNbS3.

Output
- Density: 2.69 Mg/m³
- SG: Pnma

Cell: 6.0693 13.5018 8.2767 Å, 90.00 90.00 90.00°
Last column: nearest neighbours and their distance in Å.
Atoms (fractional coordinates):
S (0.0159, 0.8783, 0.1182)  1 Nb 2.28
S (0.5154, 0.2500, 0.9739)  2 Nb 2.40-2.52
Nb (0.7012, 0.2500, 0.7021)  4 S 2.28-2.52
S (0.9841, 0.3783, 0.8818)  1 Nb 2.28
S (0.5159, 0.8783, 0.3818)  1 Nb 2.28
S (0.4841, 0.1217, 0.6182)  1 Nb 2.28
S (0.5159, 0.6217, 0.3818)  1 Nb 2.28
Rb (0.0000, 0.5000, 0.5000)  8 S 3.38-3.67
S (0.9841, 0.1217, 0.8818)  1 Nb 2.28
Nb (0.2012, 0.2500, 0.7979)  4 S 2.28-2.52
S (0.9846, 0.7500, 0.4739)  2 Nb 2.40-2.52
Rb (0.5000, 0.5000, 0.0000)  8 S 3.38-3.67
S (0.4841, 0.3783, 0.6182)  1 Nb 2.28
S (0.4846, 0.7500, 0.0261)  2 Nb 2.40-2.52
Rb (0.0000, 0.0000, 0.5000)  8 S 3.38-3.67
S (0.0154, 0.2500, 0.5261)  2 Nb 2.40-2.52
Nb (0.2988, 0.7500, 0.2979)  4 S 2.28-2.52
Rb (0.5000, 0.0000, 0.0000)  8 S 3.38-3.67
Nb (0.7988, 0.7500, 0.2021)  4 S 2.28-2.52
S (0.0159, 0.6217, 0.1182)  1 Nb 2.28

Model ii:
The following is a DFT calculation (PBE-GGA) of a relaxed structure of RbNbS3.

Output
- Density: 3.54 Mg/m³
- SG: P4mm

Cell: 3.8935 3.8935 8.4875 Å, 90.00 90.00 90.00°
Last column: nearest neighbours and their distance in Å.
Atoms (fractional coordinates):
S (0.5000, 0.0000, 0.4160)  2 Nb 2.46, 4 S 2.75
Rb (0.0000, 0.0000, 0.1027)  5 S 3.11-3.30
S (0.0000, 0.5000, 0.4160)  2 Nb 2.46, 4 S 2.75
Nb (0.5000, 0.5000, 0.5932)  4 S 2.46
S (0.0000, 0.0000, 0.7358)  4 Nb 3.01, 1 Rb 3.11, 4 S 3.34

In kJ/mol of atoms, relative to the most stable structure: model i 0.0; model ii 60.1.

Model i:
The following is a DFT calculation (PBE-GGA) of a relaxed structure of RbNb6S8.

Output
- Density: 5.29 Mg/m³
- SG: P-3

Cell: 9.7689 9.7689 3.4167 Å, 90.00 90.00 120.00°
Last column: nearest neighbours and their distance in Å.
Atoms (fractional coordinates):
S (0.3333, 0.6667, 0.7507)  6 Nb 2.63
S (0.0584, 0.7104, 0.2474)  4 Nb 2.48-2.69
S (0.7104, 0.6520, 0.7526)  4 Nb 2.48-2.69
Nb (0.3753, 0.8889, 0.2510)  6 S 2.48-2.69
Nb (0.8889, 0.5136, 0.7490)  6 S 2.48-2.69
Nb (0.1111, 0.4864, 0.2510)  6 S 2.48-2.69
Rb (0.0000, 0.0000, 0.5000)  6 S 3.27, 2 Rb 3.42
S (0.3480, 0.0584, 0.7526)  4 Nb 2.48-2.69
Nb (0.5136, 0.6247, 0.2510)  6 S 2.48-2.69
Nb (0.4864, 0.3753, 0.7490)  6 S 2.48-2.69
S (0.6520, 0.9416, 0.2474)  4 Nb 2.48-2.69
S (0.6667, 0.3333, 0.2493)  6 Nb 2.63
S (0.9416, 0.2896, 0.7526)  4 Nb 2.48-2.69
S (0.2896, 0.3480, 0.2474)  4 Nb 2.48-2.69
Nb (0.6247, 0.1111, 0.7490)  6 S 2.48-2.69

Model ii:
The following is a DFT calculation (PBE-GGA) of a relaxed structure of RbNb6S8.

Output
- Density: 4.67 Mg/m³
- SG: R-3

Cell: 6.8419 6.8419 6.8419 Å, 87.73 87.73 87.73°
Last column: nearest neighbours and their distance in Å.
Atoms (fractional coordinates):
Nb (0.7894, 0.5955, 0.4389)  5 S 2.46-2.58
Nb (0.2106, 0.4045, 0.5611)  5 S 2.46-2.58
Rb (0.0000, 0.0000, 0.0000)  2 S 3.01
S (0.8723, 0.2641, 0.5889)  4 Nb 2.51-2.58
S (0.2641, 0.5889, 0.8723)  4 Nb 2.51-2.58
S (0.4111, 0.1277, 0.7359)  4 Nb 2.51-2.58
S (0.7359, 0.4111, 0.1277)  4 Nb 2.51-2.58
Nb (0.5955, 0.4389, 0.7894)  5 S 2.46-2.58
Nb (0.4045, 0.5611, 0.2106)  5 S 2.46-2.58
S (0.7552, 0.7552, 0.7552)  3 Nb 2.46
Nb (0.4389, 0.7894, 0.5955)  5 S 2.46-2.58
Nb (0.5611, 0.2106, 0.4045)  5 S 2.46-2.58
S (0.2448, 0.2448, 0.2448)  3 Nb 2.46
S (0.1277, 0.7359, 0.4111)  4 Nb 2.51-2.58
S (0.5889, 0.8723, 0.2641)  4 Nb 2.51-2.58

In kJ/mol of atoms, relative to the most stable structure: model i 0.0; model ii 15.7.